VASP calculation (PBE-GGA) on crystalline MoAsW2 at its relaxed geometry.

energy relative to the elements: 233 meV/atom
volume: 15.873 Å³/atom
N(E_F): 4.10 states/eV/cell

abc: 3.193 3.193 6.229
angles: 90.00 90.00 90.00
Fractional coordinates of all 4 atoms:
1 W 0.000 0.000 0.993
2 W 0.500 0.500 0.260
3 As 0.000 0.000 0.492
4 Mo 0.500 0.500 0.754

=====

VASP calculation (PBE-GGA) on crystalline MoAsW2 at its relaxed geometry.

energy relative to the elements: 751 meV/atom
volume: 17.147 Å³/atom
N(E_F): 8.64 states/eV/cell

abc: 3.823 3.823 9.769
angles: 78.72 78.72 90.00
Fractional coordinates of all 8 atoms:
1 Mo 0.000 0.000 0.000
2 Mo 0.750 0.250 0.500
3 As 0.500 0.500 0.000
4 As 0.250 0.750 0.500
5 W 0.150 0.625 0.250
6 W 0.875 0.850 0.750
7 W 0.600 0.125 0.250
8 W 0.375 0.400 0.750

=====

VASP calculation (PBE-GGA) on crystalline MoAsW2 at its relaxed geometry.

energy relative to the elements: 448 meV/atom
volume: 15.978 Å³/atom
N(E_F): 2.73 states/eV/cell

abc: 4.571 3.739 3.739
angles: 90.00 90.00 90.00
Fractional coordinates of all 4 atoms:
1 W 0.000 0.000 0.000
2 W 0.000 0.500 0.500
3 As 0.500 0.500 0.000
4 Mo 0.500 0.000 0.500

=====

VASP calculation (PBE-GGA) on crystalline MoAsW2 at its relaxed geometry.

energy relative to the elements: 406 meV/atom
volume: 16.013 Å³/atom
N(E_F): 4.10 states/eV/cell

abc: 5.218 5.218 2.840
angles: 79.67 79.67 117.94
Fractional coordinates of all 4 atoms:
1 Mo 0.000 0.500 0.500
2 W 0.500 0.500 0.000
3 W 0.000 0.000 0.000
4 As 0.500 0.000 0.500